## KSm2Br6 (GGA-PBE)

Data for KSm2Br6 after structural relaxation.

Energy relative to the elements, uncorrected ... -1.7470 eV/atom
Crystal system ... trigonal

Cell: 7.3075 7.3075 7.6800 Å, 90.00 90.00 120.00°
Space group P-31m (No. 162)
Symmetry-distinct sites (fractional):
K1 0.0000 0.0000 0.0000 (multiplicity 1)
Sm1 0.3333 0.6667 0.5000 (multiplicity 2)
Br1 0.0000 0.3563 0.7239 (multiplicity 6)


## NbNi9Ge2 (GGA-PBE)

Data for NbNi9Ge2 after structural relaxation.

Crystal system ... tetragonal
Energy of formation from the pure elements ... -0.282 eV/atom

Cell: 3.621 3.621 10.798 Å, 90.00 90.00 90.00°
Space group P4/mmm (No. 123)
Symmetry-distinct sites (fractional):
Nb1 0.000 0.000 0.000 (multiplicity 1)
Ni1 0.000 0.500 0.171 (multiplicity 4)
Ni2 0.000 0.500 0.500 (multiplicity 2)
Ni3 0.500 0.500 0.000 (multiplicity 1)
Ni4 0.500 0.500 0.335 (multiplicity 2)
Ge1 0.000 0.000 0.339 (multiplicity 2)


## NpNbRh2 (GGA-PBE)

Data for NpNbRh2 after structural relaxation.

Crystal system ... tetragonal
Energy of formation from the pure elements ... -0.183 eV/atom

Cell: 4.149 4.149 3.996 Å, 90.00 90.00 90.00°
Space group P4/mmm (No. 123)
Symmetry-distinct sites (fractional):
Np1 0.000 0.000 0.000 (multiplicity 1)
Nb1 0.500 0.500 0.000 (multiplicity 1)
Rh1 0.000 0.500 0.500 (multiplicity 2)


## CsScCrNi2 (GGA-PBE)

Data for CsScCrNi2 after structural relaxation.

Crystal system ... tetragonal
Energy of formation from the pure elements ... 1.900 eV/atom

Cell: 4.784 4.784 5.073 Å, 90.00 90.00 90.00°
Space group P4/mmm (No. 123)
Symmetry-distinct sites (fractional):
Cs1 0.000 0.000 0.000 (multiplicity 1)
Sc1 0.500 0.500 0.500 (multiplicity 1)
Cr1 0.000 0.000 0.500 (multiplicity 1)
Ni1 0.000 0.500 0.000 (multiplicity 2)


## ThZnGaPt3 (GGA-PBE)

Data for ThZnGaPt3 after structural relaxation.

Crystal system ... orthorhombic
Energy of formation from the pure elements ... -0.672 eV/atom

Cell: 6.745 12.128 5.719 Å, 90.00 90.00 90.00°
Space group Cmcm (No. 63)
Symmetry-distinct sites (fractional):
Th1 0.000 0.203 0.250 (multiplicity 4)
Zn1 0.000 0.452 0.250 (multiplicity 4)
Ga1 0.000 0.128 0.750 (multiplicity 4)
Pt1 0.000 0.328 0.750 (multiplicity 4)
Pt2 0.208 0.000 0.000 (multiplicity 8)


## Be3Co (GGA-PBE)

Data for Be3Co after structural relaxation.

Crystal system ... orthorhombic
Energy of formation from the pure elements ... -0.250 eV/atom

Cell: 4.503 6.532 4.523 Å, 90.00 90.00 90.00°
Space group Imma (No. 74)
Symmetry-distinct sites (fractional):
Be1 0.000 0.250 0.018 (multiplicity 4)
Be2 0.250 0.007 0.250 (multiplicity 8)
Co1 0.000 0.250 0.531 (multiplicity 4)


## Fe2TcRu (GGA-PBE)

Data for Fe2TcRu after structural relaxation.

Crystal system ... monoclinic
Energy of formation from the pure elements ... 0.207 eV/atom

Cell: 2.613 4.241 4.871 Å, 90.00 98.52 90.00°
Space group P2/m (No. 10)
Symmetry-distinct sites (fractional):
Fe1 0.246 0.000 0.249 (multiplicity 2)
Tc1 0.500 0.500 0.000 (multiplicity 1)
Ru1 0.000 0.500 0.500 (multiplicity 1)


## ErTmC2 (GGA-PBE)

Data for ErTmC2 after structural relaxation.

Crystal system ... trigonal
Energy of formation from the pure elements ... -0.036 eV/atom

Cell: 3.5415 3.5415 17.3043 Å, 90.00 90.00 120.00°
Space group R-3m (No. 166, hexagonal axes)
Symmetry-distinct sites (fractional):
Er1 0.0000 0.0000 0.0000 (multiplicity 3)
Tm1 0.0000 0.0000 0.5000 (multiplicity 3)
C1 0.0000 0.0000 0.2494 (multiplicity 6)


## ZnCrAu2 (GGA-PBE)

Data for ZnCrAu2 after structural relaxation.

Crystal system ... monoclinic
Energy of formation from the pure elements ... 0.020 eV/atom

Cell: 9.366 3.218 4.592 Å, 90.00 105.81 90.00°
Space group Cm (No. 8)
Symmetry-distinct sites (fractional):
Zn1 0.000 0.000 0.000 (multiplicity 2)
Cr1 0.255 0.000 0.715 (multiplicity 2)
Au1 0.009 0.500 0.509 (multiplicity 2)
Au2 0.245 0.500 0.201 (multiplicity 2)


## AsRuCl2 (GGA-PBE)

Data for AsRuCl2 after structural relaxation.

Energy relative to the elements, uncorrected ... 0.8216 eV/atom
Crystal system ... orthorhombic

Cell: 6.078 8.090 3.008 Å, 90.00 90.00 90.00°
Space group Cmmm (No. 65)
Symmetry-distinct sites (fractional):
As1 0.000 0.000 0.000 (multiplicity 2)
Ru1 0.000 0.500 0.000 (multiplicity 2)
Cl1 0.250 0.250 0.500 (multiplicity 4)


## Tb5Nd2Sm2 (GGA-PBE)

Data for Tb5Nd2Sm2 after structural relaxation.

Crystal system ... monoclinic
Energy of formation from the pure elements ... 0.236 eV/atom

Cell: 21.740 3.512 8.327 Å, 90.00 99.73 90.00°
Space group C2/m (No. 12)
Symmetry-distinct sites (fractional):
Tb1 0.000 0.000 0.000 (multiplicity 2)
Tb2 0.099 0.000 0.740 (multiplicity 4)
Tb3 0.190 0.500 0.527 (multiplicity 4)
Nd1 0.184 0.000 0.147 (multiplicity 4)
Sm1 0.047 0.500 0.356 (multiplicity 4)


## Mg4BiAu5 (GGA-PBE)

Data for Mg4BiAu5 after structural relaxation.

Crystal system ... tetragonal
Energy of formation from the pure elements ... -0.487 eV/atom

Cell: 3.377 3.377 16.959 Å, 90.00 90.00 90.00°
Space group P4/mmm (No. 123)
Symmetry-distinct sites (fractional):
Mg1 0.000 0.000 0.095 (multiplicity 2)
Mg2 0.000 0.000 0.283 (multiplicity 2)
Bi1 0.000 0.000 0.500 (multiplicity 1)
Au1 0.500 0.500 0.000 (multiplicity 1)
Au2 0.500 0.500 0.188 (multiplicity 2)
Au3 0.500 0.500 0.370 (multiplicity 2)


no.,calculated total energy (eV/atom)
1,-4.033
2,-6.227
3,-9.612
4,-3.774
5,-5.646
6,-4.821
7,-8.935
8,-6.907
9,-4.344
10,-3.583
11,-4.444
12,-3.152